# GdZnAu2 GGA-PBE relaxed
data_GdZnAu2
_chemical_formula_sum 'Gd1 Zn1 Au2'
_cell_length_a 4.628
_cell_length_b 4.628
_cell_length_c 3.889
_cell_angle_alpha 90.00
_cell_angle_beta 90.00
_cell_angle_gamma 90.00
_symmetry_space_group_name_H-M 'P 4/m m m'
_symmetry_Int_Tables_number 123
_symmetry_space_group_name_Hall '-P 4 2'
loop_
_atom_site_label
_atom_site_fract_x
_atom_site_fract_y
_atom_site_fract_z
Gd1 0.000 0.000 0.000
Zn1 0.500 0.500 0.000
Au1 0.000 0.500 0.500
# - E_form (eV/atom) = -0.486
# - theoretical density (kg/m3) = 12291
# - E (eV per atom) = -5.963